Entry 1:
Density functional theory data (GGA-PBE) for an optimized crystal structure of SmGdCuSe3.

Cell lengths 6.9547, 6.9547, 10.6095 Å; angles 90.00, 90.00, 146.90 degrees
With the nearest neighbours (Å) after each atom.
Atoms (fractional coordinates):
1 Cu 0.0249 0.9752 0.2500  4 Se 2.47-2.53
2 Cu 0.9752 0.0249 0.7500  4 Se 2.47-2.53
3 Gd 0.5000 0.5000 0.0000  6 Se 2.89-2.93
4 Gd 0.5000 0.5000 0.5000  6 Se 2.89-2.93
5 Se 0.8540 0.1460 0.5740  1 Cu 2.47
6 Se 0.8540 0.1460 0.9260  1 Cu 2.47
7 Se 0.1460 0.8540 0.0740  1 Cu 2.47
8 Se 0.5933 0.4067 0.7500  2 Cu 2.53
9 Se 0.4067 0.5933 0.2500  2 Cu 2.53
10 Se 0.1460 0.8540 0.4260  1 Cu 2.47
11 Sm 0.2682 0.7318 0.7500  6 Se 2.95-3.06
12 Sm 0.7318 0.2682 0.2500  6 Se 2.95-3.06

Electronic total energy in eV/atom: -5.34
Size of the total moment in Bohr magnetons per cell: 0.03
Mass density in Mg/m³: 7.21
V in Å³/atom: 23.35


Entry 2:
Density functional theory data (GGA-PBE) for an optimized crystal structure of GdCuSnTeSe2.

Cell lengths 7.2137, 7.2137, 11.1652 Å; angles 90.00, 90.00, 146.96 degrees
With the nearest neighbours (Å) after each atom.
Atoms (fractional coordinates):
1 Se 0.8630 0.1370 0.5715  1 Cu 2.48
2 Se 0.8630 0.1370 0.9285  1 Cu 2.48
3 Se 0.1370 0.8630 0.4285  1 Cu 2.48
4 Se 0.1370 0.8630 0.0715  1 Cu 2.48
5 Te 0.5952 0.4048 0.7500  2 Cu 2.69
6 Te 0.4048 0.5952 0.2500  2 Cu 2.69
7 Gd 0.5000 0.5000 0.5000  4 Se 2.90, 2 Te 3.09
8 Gd 0.5000 0.5000 0.0000  4 Se 2.90, 2 Te 3.09
9 Sn 0.7142 0.2858 0.2500  4 Se 3.05, 2 Cu 3.27, 2 Te 3.34
10 Sn 0.2858 0.7142 0.7500  4 Se 3.05, 2 Cu 3.27, 2 Te 3.34
11 Cu 0.9698 0.0302 0.7500  2 Se 2.48, 2 Te 2.69
12 Cu 0.0302 0.9698 0.2500  2 Se 2.48, 2 Te 2.69

Electronic total energy in eV/atom: -4.60
Size of the total moment in Bohr magnetons per cell: 0.00
Mass density in Mg/m³: 6.55
V in Å³/atom: 26.40


Entry 3:
Density functional theory data (GGA-PBE) for an optimized crystal structure of SrGdCuSe3.

Cell lengths 8.4912, 4.0998, 9.1989 Å; angles 90.00, 103.86, 90.00 degrees
With the nearest neighbours (Å) after each atom.
Atoms (fractional coordinates):
1 Se 0.0624 0.2500 0.3371  3 Gd 2.91-2.94, 2 Sr 3.13
2 Se 0.9376 0.7500 0.6629  3 Gd 2.91-2.94, 2 Sr 3.13
3 Se 0.2748 0.2500 0.9819  3 Cu 2.54-2.55, 1 Gd 2.84
4 Se 0.4104 0.7500 0.6399  1 Cu 2.50
5 Se 0.5896 0.2500 0.3601  1 Cu 2.50
6 Se 0.7252 0.7500 0.0181  3 Cu 2.54-2.55, 1 Gd 2.84
7 Gd 0.8194 0.7500 0.3356  6 Se 2.84-2.94
8 Gd 0.1806 0.2500 0.6644  6 Se 2.84-2.94
9 Sr 0.6977 0.2500 0.7516  7 Se 3.13-3.50, 1 Cu 3.46
10 Sr 0.3023 0.7500 0.2484  7 Se 3.13-3.50, 1 Cu 3.46
11 Cu 0.4203 0.7500 0.9135  4 Se 2.50-2.55, 2 Cu 2.75
12 Cu 0.5797 0.2500 0.0865  4 Se 2.50-2.55, 2 Cu 2.75

Electronic total energy in eV/atom: -4.96
Size of the total moment in Bohr magnetons per cell: 0.00
Mass density in Mg/m³: 5.82
V in Å³/atom: 25.91


Entry 4:
Density functional theory data (GGA-PBE) for an optimized crystal structure of SrGdCuSe3.

Cell lengths 10.7332, 4.1073, 13.5990 Å; angles 90.00, 90.00, 90.00 degrees
With the nearest neighbours (Å) after each atom.
Atoms (fractional coordinates):
1 Se 0.0837 0.7500 0.1062  1 Cu 2.46
2 Se 0.7401 0.7500 0.6712  2 Cu 2.52
3 Se 0.7599 0.2500 0.1712  2 Cu 2.52
4 Se 0.2599 0.2500 0.3288  2 Cu 2.52
5 Se 0.4456 0.7500 0.1138  1 Cu 2.47
6 Se 0.5837 0.7500 0.3938  1 Cu 2.46
7 Se 0.0544 0.2500 0.6138  1 Cu 2.47
8 Se 0.4163 0.2500 0.6062  1 Cu 2.46
9 Se 0.5544 0.2500 0.8862  1 Cu 2.47
10 Se 0.9456 0.7500 0.3862  1 Cu 2.47
11 Se 0.2401 0.7500 0.8288  2 Cu 2.52
12 Se 0.9163 0.2500 0.8938  1 Cu 2.46
13 Sr 0.7694 0.2500 0.4989  7 Se 3.13-3.44
14 Sr 0.7306 0.7500 0.9989  7 Se 3.13-3.44
15 Sr 0.2694 0.2500 0.0011  7 Se 3.13-3.44
16 Sr 0.2306 0.7500 0.5011  7 Se 3.13-3.44
17 Cu 0.7400 0.2500 0.7783  4 Se 2.46-2.52
18 Cu 0.2400 0.2500 0.7217  4 Se 2.46-2.52
19 Cu 0.7600 0.7500 0.2783  4 Se 2.46-2.52
20 Cu 0.2600 0.7500 0.2217  4 Se 2.46-2.52
21 Gd 0.9869 0.7500 0.7559  6 Se 2.88-2.91
22 Gd 0.5131 0.2500 0.2559  6 Se 2.88-2.91
23 Gd 0.4869 0.7500 0.7441  6 Se 2.88-2.91
24 Gd 0.0131 0.2500 0.2441  6 Se 2.88-2.91

Electronic total energy in eV/atom: -4.98
Size of the total moment in Bohr magnetons per cell: 0.01
Mass density in Mg/m³: 6.04
V in Å³/atom: 24.98